Entry 1:
Material: SiRu4Se
Method: DFT, GGA-PBE
State: relaxed

## Properties
Total energy ... -41.14 eV per formula unit
Space-group type ... F-43m, No. 216

Lattice parameters (Å, degrees): 5.115 5.115 5.115 60.00 60.00 60.00
Fractional coordinates of all 6 atoms:
Si 0.000 0.000 0.000
Ru 0.125 0.625 0.625
Ru 0.625 0.125 0.625
Ru 0.625 0.625 0.125
Ru 0.625 0.625 0.625
Se 0.250 0.250 0.250



Entry 2:
Material: SiRuSe2
Method: DFT, GGA-PBE
State: relaxed

## Properties
Total energy ... -21.82 eV per formula unit
Space-group type ... Pm, No. 6

Lattice parameters (Å, degrees): 3.793 4.181 5.556 90.00 101.10 90.00
Fractional coordinates of all 4 atoms:
Si 0.000 0.000 0.000
Ru 0.763 0.500 0.068
Se 0.202 0.500 0.771
Se 0.543 0.000 0.302



Entry 3:
Material: SiRuSe2
Method: DFT, GGA-PBE
State: relaxed

## Properties
Total energy ... -19.40 eV per formula unit
Space-group type ... Pmmm, No. 47

Lattice parameters (Å, degrees): 3.164 4.331 4.878 90.00 90.00 90.00
Fractional coordinates of all 4 atoms:
Si 0.000 0.000 0.000
Ru 0.500 0.000 0.500
Se 0.000 0.500 0.500
Se 0.500 0.500 0.000



Entry 4:
Material: Si2RuSe
Method: DFT, GGA-PBE
State: relaxed

## Properties
Total energy ... -23.71 eV per formula unit
Space-group type ... R-3m, No. 166

Lattice parameters (Å, degrees): 7.263 7.263 7.263 25.47 25.47 25.47
Fractional coordinates of all 4 atoms:
Si 0.245 0.245 0.245
Si 0.755 0.755 0.755
Ru 0.500 0.500 0.500
Se 0.000 0.000 0.000



Entry 5:
Material: SiRuSe2
Method: DFT, GGA-PBE
State: relaxed

## Properties
Total energy ... -20.85 eV per formula unit
Space-group type ... R-3m, No. 166

Lattice parameters (Å, degrees): 6.052 6.052 6.052 37.07 37.07 37.07
Fractional coordinates of all 4 atoms:
Si 0.000 0.000 0.000
Ru 0.500 0.500 0.500
Se 0.242 0.242 0.242
Se 0.758 0.758 0.758



Entry 6:
Material: SiRuSe
Method: DFT, GGA-PBE
State: relaxed

## Properties
Total energy ... -17.88 eV per formula unit
Space-group type ... I4mm, No. 107

Lattice parameters (Å, degrees): 5.974 5.974 5.974 151.56 151.56 40.66
Fractional coordinates of all 3 atoms:
Si 0.000 0.000 0.000
Ru 0.628 0.628 0.000
Se 0.281 0.281 0.000



> total energy of number 1 (SiRu4Se)?

-41.14 eV per formula unit